Density functional theory data (PBE-GGA) for a relaxed NdZn10Ag crystal.

Unit cell a=4.389 b=5.050 c=9.347 alpha=90.00 beta=90.00 gamma=90.00
Space group Pmmm (No. 47)
Inequivalent atoms, fractional coordinates:
Nd (0.000, 0.000, 0.000) (multiplicity 1)
Zn (0.000, 0.000, 0.349) (multiplicity 2)
Zn (0.000, 0.500, 0.204) (multiplicity 2)
Zn (0.500, 0.000, 0.500) (multiplicity 1)
Zn (0.500, 0.243, 0.240) (multiplicity 4)
Zn (0.500, 0.500, 0.000) (multiplicity 1)
Ag (0.000, 0.500, 0.500) (multiplicity 1)

Results
The density of states at the Fermi level comes out at 3.530 states/eV/cell. As for the raw total energy: -1.81 eV/atom. The value obtained for the magnetic moment is 0.00 μB per atom. The formation enthalpy at 0 K comes out at -1.36 eV/f.u.